Entry from OQMD: a geometry-optimized Tm4SbTeC2 structure (GGA-PBE).

Computed properties:
uncorrected energy	-6.2317	eV/atom

Cell lengths 3.6787, 3.6787, 14.4348 Å; angles 90.00, 90.00, 120.00 degrees
Space group P-6m2 (No. 187)
Inequivalent atoms, fractional coordinates:
1 Tm 0.0000 0.0000 0.1555
2 Tm 0.6667 0.3333 0.3341
3 Sb 0.0000 0.0000 0.5000
4 Te 0.6667 0.3333 0.0000
5 C 0.3333 0.6667 0.2443


Entry from OQMD: a geometry-optimized Dy5Bi3 structure (GGA-PBE).

Computed properties:
uncorrected energy	-5.0928	eV/atom

Cell lengths 8.2265, 9.5231, 11.9965 Å; angles 90.00, 90.00, 90.00 degrees
Space group Pnma (No. 62)
Inequivalent atoms, fractional coordinates:
1 Dy 0.0239 0.2500 0.0114
2 Dy 0.1485 0.7500 0.2856
3 Dy 0.1890 0.2500 0.2812
4 Dy 0.1934 0.0631 0.5576
5 Bi 0.0630 0.0044 0.8247
6 Bi 0.0919 0.7500 0.5435


Entry from OQMD: a geometry-optimized Tl3CoSi structure (GGA-PBE).

Computed properties:
uncorrected energy	-3.2932	eV/atom

Cell lengths 7.1269, 7.1269, 5.4785 Å; angles 90.00, 90.00, 120.00 degrees
Space group P-31m (No. 162)
Inequivalent atoms, fractional coordinates:
1 Tl 0.0000 0.3526 0.2253
2 Co 0.0000 0.0000 0.1963
3 Si 0.3333 0.6667 0.5000


Entry from OQMD: a geometry-optimized RbErZnTe3 structure (GGA-PBE).

Computed properties:
uncorrected energy	-3.5957	eV/atom

Cell lengths 19.9213, 4.4854, 9.5051 Å; angles 90.00, 100.82, 90.00 degrees
Space group C2/m (No. 12)
Inequivalent atoms, fractional coordinates:
1 Rb 0.1424 0.0000 0.0635
2 Er 0.1703 0.0000 0.5648
3 Zn 0.0299 0.5000 0.7278
4 Te 0.0000 0.0000 0.5000
5 Te 0.0000 0.5000 0.0000
6 Te 0.1648 0.5000 0.7805
7 Te 0.1755 0.5000 0.3543


Entry from OQMD: a geometry-optimized Hf3AuC structure (GGA-PBE).

Computed properties:
uncorrected energy	-9.0674	eV/atom

Cell lengths 4.4577, 4.4577, 4.4577 Å; angles 90.00, 90.00, 90.00 degrees
Space group Pm-3m (No. 221)
Inequivalent atoms, fractional coordinates:
1 Hf 0.0000 0.0000 0.5000
2 Au 0.5000 0.5000 0.5000
3 C 0.0000 0.0000 0.0000


Entry from OQMD: a geometry-optimized La2DyMg3InGa2 structure (GGA-PBE).

Computed properties:
uncorrected energy	-3.5665	eV/atom

Cell lengths 4.6674, 12.9521, 7.5858 Å; angles 90.00, 90.00, 90.00 degrees
Space group Amm2 (No. 38)
Inequivalent atoms, fractional coordinates:
1 La 0.0000 0.2180 0.0000
2 Dy 0.0000 0.0000 0.6525
3 Mg 0.5000 0.0000 0.9696
4 Mg 0.5000 0.1229 0.3447
5 In 0.0000 0.0000 0.2280
6 Ga 0.5000 0.1614 0.7176


Entry from OQMD: a geometry-optimized YPaIr2 structure (GGA-PBE).

Computed properties:
uncorrected energy	-9.3283	eV/atom

Cell lengths 8.5549, 5.6798, 7.1309 Å; angles 90.00, 90.68, 90.00 degrees
Space group P2_1/c (No. 14)
Inequivalent atoms, fractional coordinates:
1 Y 0.1200 0.1467 0.1796
2 Pa 0.3706 0.6565 0.3221
3 Ir 0.1417 0.6510 0.0473
4 Ir 0.3897 0.1855 0.4426


Entry from OQMD: a geometry-optimized DyTmFe2Ge2 structure (GGA-PBE).

Computed properties:
uncorrected energy	-6.3551	eV/atom

Cell lengths 4.0833, 4.0833, 6.4497 Å; angles 90.00, 90.00, 90.00 degrees
Space group P4mm (No. 99)
Inequivalent atoms, fractional coordinates:
1 Dy 0.0000 0.0000 0.0000
2 Tm 0.5000 0.5000 0.3802
3 Fe 0.0000 0.5000 0.6857
4 Ge 0.0000 0.0000 0.4874
5 Ge 0.5000 0.5000 0.8850


no.,M_tot (μB per cell)
1,0.02
2,0.01
3,2.80
4,0.00
5,0.01
6,0.02
7,0.00
8,0.21